Crystalline Li2NbVO4 at its relaxed geometry. Source: Alexandria via LeMat-Bulk, functional PBE with a Hubbard U.

a = 5.878 Å, b = 6.289 Å, c = 8.574 Å
α = 90.00°, β = 90.00°, γ = 90.00°
Space group Imma (No. 74)
Unique sites:
1 Li 0.000 0.000 0.000 [4 per cell]
2 Li 0.250 0.250 0.250 [4 per cell]
3 Nb 0.250 0.250 0.750 [4 per cell]
4 V 0.000 0.000 0.500 [4 per cell]
5 O 0.000 0.001 0.248 [8 per cell]
6 O 0.248 0.250 0.511 [8 per cell]

## Properties
Magnetic moment = 2.74 μB/f.u.
Total DFT energy (no corrections) = -7.27 eV per atom